## Nb5ReRu4 (GGA-PBE)

Data for an optimized crystal structure of Nb5ReRu4.

a b c (Å): 3.1118 3.1118 16.7720
angles (deg): 90.00 90.00 90.00
Space group P4/mmm (No. 123)
Symmetry-distinct sites (fractional):
Nb1 0.0000 0.0000 0.0000
Nb2 0.0000 0.0000 0.2024
Nb3 0.0000 0.0000 0.4036
Re1 0.5000 0.5000 0.5000
Ru1 0.5000 0.5000 0.1096
Ru2 0.5000 0.5000 0.3030

**Volume**: 16.24 A^3/atom
**Formation energy from the elements**: -201 meV per atom